[1]
The following is a PBE calculation of a geometry-optimized Rb2LiGeI5 structure, from Alexandria via LeMat-Bulk.

- formation energy without anion corrections (kJ/mol of atoms) = -99.8
- crystal system = orthorhombic
- total magnetic moment (μB per atom) = 0.000

```
data_Rb2LiGeI5
_cell_length_a 4.639
_cell_length_b 21.437
_cell_length_c 15.344
_cell_angle_alpha 90.00
_cell_angle_beta 90.00
_cell_angle_gamma 90.00
_symmetry_space_group_name_H-M 'C m c 21'
_symmetry_Int_Tables_number 36
loop_
_symmetry_equiv_pos_as_xyz
'x,y,z'
'-x,-y,z+1/2'
'-x,y,z'
'x,-y,z+1/2'
'x+1/2,y+1/2,z'
'-x+1/2,-y+1/2,z+1/2'
'-x+1/2,y+1/2,z'
'x+1/2,-y+1/2,z+1/2'
loop_
_atom_site_label
_atom_site_type_symbol
_atom_site_fract_x
_atom_site_fract_y
_atom_site_fract_z
Rb1 Rb 0.000 0.095 0.000
Rb2 Rb 0.000 0.126 0.631
Li1 Li 0.000 0.427 0.783
Ge1 Ge 0.000 0.218 0.358
I1 I 0.000 0.070 0.384
I2 I 0.000 0.270 0.992
I3 I 0.000 0.300 0.728
I4 I 0.000 0.351 0.326
I5 I 0.000 0.494 0.632
```

---

[2]
The following is a PBE calculation of a geometry-optimized RbLiGe2I6 structure, from Alexandria via LeMat-Bulk.

- formation energy without anion corrections (kJ/mol of atoms) = -64.7
- crystal system = monoclinic
- total magnetic moment (μB per atom) = 0.000

```
data_RbLiGe2I6
_cell_length_a 13.985
_cell_length_b 15.109
_cell_length_c 10.280
_cell_angle_alpha 90.00
_cell_angle_beta 117.81
_cell_angle_gamma 90.00
_symmetry_space_group_name_H-M 'C 1 2/c 1'
_symmetry_Int_Tables_number 15
loop_
_symmetry_equiv_pos_as_xyz
'x,y,z'
'-x,-y,-z'
'-x,y,-z+1/2'
'x,-y,z+1/2'
'x+1/2,y+1/2,z'
'-x+1/2,-y+1/2,-z'
'-x+1/2,y+1/2,-z+1/2'
'x+1/2,-y+1/2,z+1/2'
loop_
_atom_site_label
_atom_site_type_symbol
_atom_site_fract_x
_atom_site_fract_y
_atom_site_fract_z
Rb1 Rb 0.000 0.121 0.250
Li1 Li 0.000 0.195 0.750
Ge1 Ge 0.138 0.426 0.169
I1 I 0.117 0.258 0.044
I2 I 0.127 0.438 0.472
I3 I 0.129 0.078 0.678
```

---

[3]
The following is a PBE calculation of a geometry-optimized RbLi2GeI6 structure, from Alexandria via LeMat-Bulk.

- formation energy without anion corrections (kJ/mol of atoms) = -79.6
- crystal system = monoclinic
- total magnetic moment (μB per atom) = 0.082

```
data_RbLi2GeI6
_cell_length_a 16.575
_cell_length_b 14.145
_cell_length_c 8.904
_cell_angle_alpha 90.00
_cell_angle_beta 117.31
_cell_angle_gamma 90.00
_symmetry_space_group_name_H-M 'C 1 2/c 1'
_symmetry_Int_Tables_number 15
loop_
_symmetry_equiv_pos_as_xyz
'x,y,z'
'-x,-y,-z'
'-x,y,-z+1/2'
'x,-y,z+1/2'
'x+1/2,y+1/2,z'
'-x+1/2,-y+1/2,-z'
'-x+1/2,y+1/2,-z+1/2'
'x+1/2,-y+1/2,z+1/2'
loop_
_atom_site_label
_atom_site_type_symbol
_atom_site_fract_x
_atom_site_fract_y
_atom_site_fract_z
Rb1 Rb 0.000 0.164 0.250
Li1 Li 0.071 0.439 0.154
Ge1 Ge 0.000 0.185 0.750
I1 I 0.114 0.072 0.695
I2 I 0.117 0.416 0.494
I3 I 0.127 0.271 0.044
```

---

[4]
The following is a PBE calculation of a geometry-optimized Rb2Li3GeI8 structure, from Alexandria via LeMat-Bulk.

- formation energy without anion corrections (kJ/mol of atoms) = -90.1
- crystal system = trigonal
- total magnetic moment (μB per atom) = 0.000

```
data_Rb2Li3GeI8
_cell_length_a 8.9406
_cell_length_b 8.9406
_cell_length_c 27.8629
_cell_angle_alpha 90.00
_cell_angle_beta 90.00
_cell_angle_gamma 120.00
_symmetry_space_group_name_H-M 'R 3 m'
_symmetry_Int_Tables_number 160
_symmetry_space_group_name_Hall 'R 3 -2"'
loop_
_atom_site_label
_atom_site_type_symbol
_atom_site_fract_x
_atom_site_fract_y
_atom_site_fract_z
Rb1 Rb 0.0000 0.0000 0.0000
Rb2 Rb 0.0000 0.0000 0.3479
Li1 Li 0.2065 0.4130 0.8178
Ge1 Ge 0.0000 0.0000 0.5705
I1 I 0.0000 0.0000 0.2212
I2 I 0.0000 0.0000 0.6650
I3 I 0.0125 0.5063 0.7617
I4 I 0.1774 0.3548 0.5514
```